Below is crystalline ZrTi2SiTe at its relaxed geometry, with properties calculated at the GGA-PBE level.

Results
Its uncorrected energy is -5.407 eV/atom. The value obtained for the calculated volume is 26.10 Å³/atom. The density of states at the Fermi level comes out at 1.38 states/eV/atom. The space-group type is No. 123. Its calculated density is 4.36 Mg/m³. As for the excess energy over the best structure of this formula in the dataset: 1.090 eV per atom.

a = 4.9519 Å, b = 5.3217 Å, c = 4.9519 Å
α = 90.00°, β = 90.00°, γ = 90.00°
Closest atoms and distances in Å follow each position.
Atoms (fractional coordinates):
Te  0.0000  0.5000  0.0000  2 Zr 2.66
Si  0.5000  0.5000  0.5000  4 Te 3.50, 8 Ti 3.63
Ti  0.5000  0.0000  0.0000  2 Zr 2.48
Zr  0.0000  0.0000  0.0000  4 Ti 2.48, 2 Te 2.66
Ti  0.0000  0.0000  0.5000  2 Zr 2.48


Below is crystalline TlSiTe2 at its relaxed geometry, with properties calculated at the GGA-PBE level.

Results
Its uncorrected energy is -3.160 eV/atom. The value obtained for the calculated volume is 27.12 Å³/atom. The density of states at the Fermi level comes out at 0.99 states/eV/atom. The space-group type is No. 225. Its calculated density is 7.47 Mg/m³.

a = 5.3531 Å, b = 5.3531 Å, c = 5.3531 Å
α = 60.00°, β = 60.00°, γ = 60.00°
Closest atoms and distances in Å follow each position.
Atoms (fractional coordinates):
Te  0.2500  0.2500  0.2500  4 Tl 3.28, 4 Si 3.28
Si  0.0000  0.0000  0.0000  8 Te 3.28
Tl  0.5000  0.5000  0.5000  8 Te 3.28
Te  0.7500  0.7500  0.7500  4 Si 3.28, 4 Tl 3.28


Below is crystalline Tl2SiTe at its relaxed geometry, with properties calculated at the GGA-PBE level.

Results
Its uncorrected energy is -3.051 eV/atom. The value obtained for the calculated volume is 28.25 Å³/atom. The density of states at the Fermi level comes out at 0.37 states/eV/atom. The space-group type is No. 47. Its calculated density is 8.29 Mg/m³. As for the excess energy over the best structure of this formula in the dataset: 0.145 eV per atom.

a = 4.4651 Å, b = 4.3908 Å, c = 5.7639 Å
α = 90.00°, β = 90.00°, γ = 90.00°
Closest atoms and distances in Å follow each position.
Atoms (fractional coordinates):
Tl  0.5000  0.5000  0.0000  4 Tl 3.13
Si  0.5000  0.0000  0.5000  4 Te 3.13
Te  0.0000  0.5000  0.5000  4 Si 3.13
Tl  0.0000  0.0000  0.0000  4 Tl 3.13


Below is crystalline TlSi2Te at its relaxed geometry, with properties calculated at the GGA-PBE level.

Results
Its uncorrected energy is -3.702 eV/atom. The value obtained for the calculated volume is 25.39 Å³/atom. The density of states at the Fermi level comes out at 0.27 states/eV/atom. The space-group type is No. 99. Its calculated density is 6.35 Mg/m³. As for the excess energy over the best structure of this formula in the dataset: 0.118 eV per atom.

a = 3.3079 Å, b = 3.3079 Å, c = 9.2823 Å
α = 90.00°, β = 90.00°, γ = 90.00°
Closest atoms and distances in Å follow each position.
Atoms (fractional coordinates):
Tl  0.5000  0.5000  0.7873  4 Tl 3.31, 5 Si 3.40-3.57, 4 Te 3.69
Te  0.0000  0.0000  0.4805  4 Te 3.31, 4 Tl 3.69
Si  0.5000  0.5000  0.1541  4 Si 2.44
Si  0.0000  0.0000  0.0781  4 Si 2.44